1.
The following is a PBE calculation of an optimized crystal structure of K2OsPb, from Alexandria.

a = 5.2700 Å, b = 5.2700 Å, c = 5.2700 Å
α = 60.00°, β = 60.00°, γ = 60.00°
Last column: magnetic moment on the atom in μB.
Element x y z (fractional)
K (0.0000, 0.0000, 0.0000)  -0.01
K (0.7500, 0.7500, 0.7500)  0.00
Os (0.5000, 0.5000, 0.5000)  0.25
Pb (0.2500, 0.2500, 0.2500)  -0.03

Results
symmetry	F-43m (216)
E_form	1022	meV/atom


2.
The following is a PBE calculation of an optimized crystal structure of KOs2Pb, from Alexandria.

a = 4.3663 Å, b = 4.3663 Å, c = 8.1838 Å
α = 83.00°, β = 83.00°, γ = 41.28°
Element x y z (fractional)
K (0.2511, 0.2511, 0.2122)
Os (0.0162, 0.0162, 0.9028)
Os (0.7507, 0.7507, 0.8089)
Pb (0.4819, 0.4819, 0.5760)

Results
symmetry	Cm (8)
E_form	658	meV/atom


3.
The following is a PBE calculation of an optimized crystal structure of K2OsPb, from Alexandria.

a = 4.2495 Å, b = 4.2495 Å, c = 5.6902 Å
α = 90.00°, β = 90.00°, γ = 90.00°
Last column: magnetic moment on the atom in μB.
Element x y z (fractional)
K (0.0000, 0.0000, 0.0000)  0.00
K (0.5000, 0.5000, 0.0000)  0.00
Os (0.5000, 0.0000, 0.5000)  0.33
Pb (0.0000, 0.5000, 0.5000)  -0.01

Results
symmetry	P4/mmm (123)
E_form	1000	meV/atom


4.
The following is a PBE calculation of an optimized crystal structure of K2OsPb, from Alexandria.

a = 4.6639 Å, b = 4.6639 Å, c = 8.7434 Å
α = 73.78°, β = 73.78°, γ = 60.15°
Element x y z (fractional)
K (0.0280, 0.0280, 0.9032)
K (0.2225, 0.2225, 0.3465)
Os (0.4578, 0.4578, 0.6254)
Pb (0.7917, 0.7917, 0.6249)

Results
symmetry	Cm (8)
E_form	667	meV/atom


5.
The following is a PBE calculation of an optimized crystal structure of K2OsPb, from Alexandria.

a = 6.4359 Å, b = 6.4359 Å, c = 6.4359 Å
α = 141.40°, β = 141.40°, γ = 55.73°
Last column: magnetic moment on the atom in μB.
Element x y z (fractional)
K (0.0000, 0.0000, 0.0000)  0.00
K (0.5000, 0.5000, 0.0000)  0.00
Os (0.2500, 0.7500, 0.5000)  0.42
Pb (0.7500, 0.2500, 0.5000)  -0.01

Results
symmetry	I4/mmm (139)
E_form	1000	meV/atom


6.
The following is a PBE calculation of an optimized crystal structure of K2OsPb, from Alexandria.

a = 4.2070 Å, b = 4.2070 Å, c = 12.4164 Å
α = 80.25°, β = 80.25°, γ = 90.00°
Last column: magnetic moment on the atom in μB.
Element x y z (fractional)
Pb (0.0000, 0.0000, 0.0000)  -0.01
Pb (0.7500, 0.2500, 0.5000)  0.00
K (0.6174, 0.1250, 0.2500)  0.00
K (0.1326, 0.6250, 0.2500)  0.00
K (0.3750, 0.3826, 0.7500)  0.00
K (0.8750, 0.8674, 0.7500)  0.00
Os (0.5000, 0.5000, 0.0000)  0.60
Os (0.2500, 0.7500, 0.5000)  0.60

Results
symmetry	I-42d (122)
E_form	1134	meV/atom


7.
The following is a PBE calculation of an optimized crystal structure of KOs2Pb, from Alexandria.

a = 7.0009 Å, b = 7.0009 Å, c = 7.0009 Å
α = 146.05°, β = 140.93°, γ = 52.71°
Element x y z (fractional)
K (0.2158, 0.7158, 0.5000)
Os (0.9450, 0.9450, 0.0000)
Os (0.8550, 0.3550, 0.5000)
Pb (0.4842, 0.4842, 0.0000)

Results
symmetry	Imm2 (44)
E_form	1031	meV/atom


8.
The following is a PBE calculation of an optimized crystal structure of KOsPb, from Alexandria.

a = 6.8558 Å, b = 6.8558 Å, c = 6.8558 Å
α = 153.30°, β = 142.58°, γ = 46.56°
Last column: magnetic moment on the atom in μB.
Element x y z (fractional)
K (0.0008, 0.0008, 0.0000)  0.00
Os (0.2604, 0.2604, 0.0000)  0.24
Pb (0.7388, 0.7388, 0.0000)  -0.01

Results
symmetry	Imm2 (44)
distance to the lowest polymorph of the same formula	0	meV per atom
E_form	843	meV/atom


9.
The following is a PBE calculation of an optimized crystal structure of KOs2Pb, from Alexandria.

a = 4.5436 Å, b = 4.5436 Å, c = 10.5333 Å
α = 77.54°, β = 77.54°, γ = 90.00°
Element x y z (fractional)
Pb (0.0000, 0.0000, 0.0000)
Pb (0.7500, 0.2500, 0.5000)
K (0.5000, 0.5000, 0.0000)
K (0.2500, 0.7500, 0.5000)
Os (0.7711, 0.1250, 0.2500)
Os (0.9789, 0.6250, 0.2500)
Os (0.3750, 0.2289, 0.7500)
Os (0.8750, 0.0211, 0.7500)

Results
symmetry	I-42d (122)
E_form	1279	meV/atom


10.
The following is a PBE calculation of an optimized crystal structure of K2OsPb, from Alexandria.

a = 6.7751 Å, b = 6.7751 Å, c = 6.7751 Å
α = 147.36°, β = 127.65°, γ = 63.06°
Last column: magnetic moment on the atom in μB.
Element x y z (fractional)
K (0.0177, 0.0177, 0.0000)  0.00
K (0.7144, 0.2144, 0.5000)  0.00
Os (0.4625, 0.4625, 0.0000)  0.09
Pb (0.3054, 0.8054, 0.5000)  -0.01

Results
symmetry	Imm2 (44)
E_form	813	meV/atom


11.
The following is a PBE calculation of an optimized crystal structure of K2OsPb, from Alexandria.

a = 4.3258 Å, b = 3.3313 Å, c = 10.1103 Å
α = 89.53°, β = 90.00°, γ = 90.00°
Last column: magnetic moment on the atom in μB.
Element x y z (fractional)
K (0.0000, 0.8778, 0.9235)  0.00
K (0.5000, 0.3826, 0.3236)  0.00
Os (0.0000, 0.3701, 0.6194)  -0.19
Pb (0.5000, 0.8695, 0.6335)  0.01

Results
symmetry	Pm (6)
E_form	679	meV/atom


12.
The following is a PBE calculation of an optimized crystal structure of KOs4Pb, from Alexandria.

a = 5.3991 Å, b = 5.3991 Å, c = 5.3991 Å
α = 60.00°, β = 60.00°, γ = 60.00°
Last column: magnetic moment on the atom in μB.
Element x y z (fractional)
K (0.0000, 0.0000, 0.0000)  0.00
Os (0.8741, 0.3753, 0.3753)  0.43
Os (0.3753, 0.3753, 0.8741)  0.43
Os (0.3753, 0.8741, 0.3753)  0.43
Os (0.3753, 0.3753, 0.3753)  0.43
Pb (0.7500, 0.7500, 0.7500)  0.01

Results
symmetry	F-43m (216)
E_form	1095	meV/atom


> Look up the E_form of the third one.

1000 meV/atom